A relaxed AcMnFeO4 crystal. Source: Alexandria, functional PBE+U.

Values from the calculation:
E_tot in eV/atom: -7.2926
Density of states at the Fermi level in states/eV/cell: 3.62
Total magnetization in Bohr magnetons per cell: 16.00

Geometry as CIF:
```
data_AcMnFeO4
_cell_length_a 3.8149
_cell_length_b 5.9258
_cell_length_c 8.4339
_cell_angle_alpha 90.00
_cell_angle_beta 103.09
_cell_angle_gamma 90.00
_symmetry_space_group_name_H-M 'P 1 21/m 1'
_symmetry_Int_Tables_number 11
loop_
_symmetry_equiv_pos_as_xyz
'x,y,z'
'-x,-y,-z'
'-x,y+1/2,-z'
'x,-y+1/2,z'
loop_
_atom_site_label
_atom_site_fract_x
_atom_site_fract_y
_atom_site_fract_z
Ac1 0.1742 0.2500 0.3491
Mn1 0.4905 0.7500 0.9802
Fe1 0.1139 0.7500 0.2254
O1 0.0102 0.2500 0.0210
O2 0.2306 0.7500 0.4607
O3 0.4033 0.0105 0.8065
```